Density functional theory data (GGA-PBE) for crystalline ZrSbN2F at its relaxed geometry.

a = 4.1911 Å, b = 4.1911 Å, c = 4.0416 Å
α = 90.00°, β = 90.00°, γ = 90.00°
Element x y z (fractional)
Zr  0.0000  0.0000  0.0000
Sb  0.5000  0.5000  0.5000
N  0.0000  0.5000  0.5000
N  0.5000  0.0000  0.5000
F  0.5000  0.5000  0.0000

## Properties
Total magnetic moment (μB per cell): 1.3
Symmetry: P4/mmm (123)
ΔE to the lowest computed polymorph (meV per atom): 722.0
Crystal system: tetragonal
E_form (uncorrected) (meV per atom): 145